# 1
A plane-wave DFT calculation with PBE-GGA was carried out for crystalline LiHfZrAl at its relaxed geometry.

- Energy relative to the elements: -0.1129 eV per atom

Unit cell a=4.737 b=4.737 c=4.737 alpha=60.00 beta=60.00 gamma=60.00
Sites, in units of the cell vectors:
1 Hf 0.750 0.750 0.750
2 Al 0.500 0.500 0.500
3 Zr 0.250 0.250 0.250
4 Li 0.000 0.000 0.000

# 2
A plane-wave DFT calculation with PBE-GGA was carried out for crystalline MgTi at its relaxed geometry.

- Energy relative to the elements: 0.1448 eV per atom

Unit cell a=4.864 b=5.954 c=10.695 alpha=90.00 beta=90.00 gamma=90.00
Sites, in units of the cell vectors:
1 Mg 0.000 0.000 0.337
2 Mg 0.000 0.000 0.821
3 Mg 0.000 0.751 0.084
4 Mg 0.000 0.249 0.084
5 Mg 0.500 0.749 0.916
6 Mg 0.500 0.500 0.179
7 Mg 0.500 0.500 0.663
8 Mg 0.500 0.251 0.916
9 Ti 0.000 0.740 0.574
10 Ti 0.000 0.500 0.344
11 Ti 0.000 0.500 0.806
12 Ti 0.000 0.260 0.574
13 Ti 0.500 0.000 0.194
14 Ti 0.500 0.000 0.656
15 Ti 0.500 0.760 0.426
16 Ti 0.500 0.240 0.426

# 3
A plane-wave DFT calculation with PBE-GGA was carried out for crystalline CeGeH2 at its relaxed geometry.

- Electronic total energy: -4.683 eV/atom

Unit cell a=4.150 b=4.150 c=4.355 alpha=61.55 beta=61.55 gamma=60.00
Sites, in units of the cell vectors:
1 H 0.176 0.176 0.471
2 H 0.824 0.824 0.529
3 Ge 0.000 0.000 0.000
4 Ce 0.500 0.500 0.500

# 4
A plane-wave DFT calculation with PBE-GGA was carried out for crystalline NaBi2Pd4 at its relaxed geometry.

- Energy relative to the elements: 0.3187 eV per atom

Unit cell a=4.728 b=4.728 c=7.763 alpha=72.27 beta=72.27 gamma=90.00
Sites, in units of the cell vectors:
1 Na 0.000 0.000 0.000
2 Bi 0.375 0.375 0.250
3 Bi 0.625 0.625 0.750
4 Pd 0.186 0.186 0.628
5 Pd 0.814 0.814 0.372
6 Pd 0.000 0.500 0.000
7 Pd 0.500 0.000 0.000

# 5
A plane-wave DFT calculation with PBE-GGA was carried out for crystalline TbPrP2Rh5 at its relaxed geometry.

- Energy relative to the elements: -0.7637 eV per atom

Unit cell a=4.074 b=4.074 c=10.698 alpha=90.00 beta=90.00 gamma=90.00
Sites, in units of the cell vectors:
1 Tb 0.000 0.000 0.000
2 Pr 0.000 0.000 0.500
3 P 0.500 0.500 0.288
4 P 0.500 0.500 0.712
5 Rh 0.000 0.500 0.196
6 Rh 0.500 0.000 0.196
7 Rh 0.000 0.500 0.804
8 Rh 0.500 0.000 0.804
9 Rh 0.500 0.500 0.500